# 1
This record from Alexandria via LeMat-Bulk describes an optimized crystal structure of LaYBe. The functional is PBE.

a = 4.9120 Å, b = 4.9120 Å, c = 4.9120 Å
α = 60.00°, β = 60.00°, γ = 60.00°
Element x y z (fractional)
Y  0.5000  0.5000  0.5000
Be  0.7500  0.7500  0.7500
La  0.0000  0.0000  0.0000

Energy of formation from the pure elements in kJ/mol of atoms: 29.0
Energy above the lowest structure with this stoichiometry in meV per atom: 185

---

# 2
This record from Alexandria via LeMat-Bulk describes an optimized crystal structure of Dy4HgRu. The functional is PBE.

a = 6.2361 Å, b = 7.6135 Å, c = 7.6135 Å
α = 111.34°, β = 98.75°, γ = 98.75°
Element x y z (fractional)
Dy  0.0418  0.9347  0.2744
Dy  0.5932  0.2052  0.3668
Dy  0.5418  0.2744  0.9347
Dy  0.4068  0.7948  0.6332
Dy  0.9582  0.0653  0.7256
Dy  0.0932  0.3668  0.2052
Dy  0.4582  0.7256  0.0653
Dy  0.9068  0.6332  0.7948
Ru  0.2500  0.9990  0.0010
Ru  0.7500  0.0010  0.9990
Hg  0.7500  0.6265  0.3735
Hg  0.2500  0.3735  0.6265

Energy of formation from the pure elements in kJ/mol of atoms: -36.0
Energy above the lowest structure with this stoichiometry in meV per atom: 0

---

# 3
This record from Alexandria via LeMat-Bulk describes an optimized crystal structure of NiAs2Ir. The functional is PBE.

a = 2.8189 Å, b = 2.8189 Å, c = 9.6492 Å
α = 90.00°, β = 90.00°, γ = 119.21°
Element x y z (fractional)
As  0.0000  0.0000  0.9391
As  0.5000  0.5000  0.3005
Ir  0.0000  0.0000  0.5172
Ni  0.5000  0.5000  0.7431

Energy of formation from the pure elements in kJ/mol of atoms: 19.8
Energy above the lowest structure with this stoichiometry in meV per atom: 431

---

# 4
This record from Alexandria via LeMat-Bulk describes an optimized crystal structure of RbLiAl2Cl8. The functional is PBE.

a = 6.4195 Å, b = 6.4195 Å, c = 10.2191 Å
α = 71.69°, β = 71.69°, γ = 60.00°
Element x y z (fractional)
Cl  0.9598  0.6027  0.1662
Cl  0.0402  0.3973  0.8338
Cl  0.1797  0.1797  0.4608
Cl  0.2712  0.9598  0.1662
Cl  0.7288  0.0402  0.8338
Cl  0.6027  0.2712  0.1662
Cl  0.8203  0.8203  0.5392
Cl  0.3973  0.7288  0.8338
Li  0.0000  0.0000  0.0000
Al  0.2555  0.2555  0.2335
Al  0.7445  0.7445  0.7665
Rb  0.5000  0.5000  0.5000

Formation energy without anion corrections in eV per atom: -1.700

---

# 5
This record from Alexandria via LeMat-Bulk describes an optimized crystal structure of DyTm4Mg3. The functional is PBE.

a = 3.8076 Å, b = 5.3573 Å, c = 10.8427 Å
α = 90.00°, β = 90.00°, γ = 90.00°
Element x y z (fractional)
Tm  0.0000  0.5000  0.7386
Tm  0.0000  0.5000  0.2614
Tm  0.0000  0.0000  0.5000
Tm  0.0000  0.0000  0.0000
Mg  0.5000  0.5000  0.5000
Mg  0.5000  0.0000  0.7480
Mg  0.5000  0.0000  0.2520
Dy  0.5000  0.5000  0.0000

Energy of formation from the pure elements in kJ/mol of atoms: 1.0

---

# 6
This record from Alexandria via LeMat-Bulk describes an optimized crystal structure of AcPmSm2Se4. The functional is PBE.

a = 4.2003 Å, b = 7.4275 Å, c = 7.3810 Å
α = 71.17°, β = 90.00°, γ = 90.00°
Element x y z (fractional)
Sm  0.5000  0.0000  0.5000
Sm  0.0000  0.0000  0.0000
Se  0.5000  0.2419  0.7454
Se  0.0000  0.2358  0.2624
Se  0.0000  0.7642  0.7376
Se  0.5000  0.7581  0.2546
Pm  0.0000  0.5000  0.5000
Ac  0.5000  0.5000  0.0000

Formation energy without anion corrections in eV per atom: -1.818

---

Copy entry 3 word for word.
This record from Alexandria via LeMat-Bulk describes an optimized crystal structure of NiAs2Ir. The functional is PBE.

a = 2.8189 Å, b = 2.8189 Å, c = 9.6492 Å
α = 90.00°, β = 90.00°, γ = 119.21°
Element x y z (fractional)
As  0.0000  0.0000  0.9391
As  0.5000  0.5000  0.3005
Ir  0.0000  0.0000  0.5172
Ni  0.5000  0.5000  0.7431

Energy of formation from the pure elements in kJ/mol of atoms: 19.8
Energy above the lowest structure with this stoichiometry in meV per atom: 431

---

What did the sixth record say?
This record from Alexandria via LeMat-Bulk describes an optimized crystal structure of AcPmSm2Se4. The functional is PBE.

a = 4.2003 Å, b = 7.4275 Å, c = 7.3810 Å
α = 71.17°, β = 90.00°, γ = 90.00°
Element x y z (fractional)
Sm  0.5000  0.0000  0.5000
Sm  0.0000  0.0000  0.0000
Se  0.5000  0.2419  0.7454
Se  0.0000  0.2358  0.2624
Se  0.0000  0.7642  0.7376
Se  0.5000  0.7581  0.2546
Pm  0.0000  0.5000  0.5000
Ac  0.5000  0.5000  0.0000

Formation energy without anion corrections in eV per atom: -1.818